Here is crystalline Na3Dy3ErSe8 at its relaxed geometry from the Alexandria database. Energies are from PBE.

It has space group R-3m (No. 166, hexagonal axes), with a = 8.2228 Å, b = 8.2228 Å, c = 21.1959 Å, α = 90.00°, β = 90.00° and γ = 120.00°. Symmetry generates all atoms from Na at (0.0000, 0.5000, 0.0000), Dy at (0.0000, 0.5000, 0.5000), Er at (0.0000, 0.0000, 0.5000), Se at (0.0000, 0.0000, 0.2436) and Se at (0.0016, 0.5008, 0.2421).

The value obtained for the final energy is -223.71 eV per cell. For the uncorrected formation energy, the calculation gives -1.62 eV/atom.

---

Here is crystalline Zn2TcAs at its relaxed geometry from the Alexandria database. Energies are from PBE.

It has space group Cmmm (No. 65), with a = 3.3405 Å, b = 4.3959 Å, c = 8.6440 Å, α = 90.00°, β = 90.00° and γ = 90.00°. Symmetry generates all atoms from Zn at (0.0000, 0.0000, 0.2340), Tc at (0.0000, 0.5000, 0.0000) and As at (0.0000, 0.5000, 0.5000).

The value obtained for the final energy is -33.10 eV per cell.